Entry from Alexandria via LeMat-Bulk: crystalline Fe2HgW at its relaxed geometry (PBE).

The calculation puts the density of states at the Fermi level at 3.86 states/eV/cell. As for the calculated total energy: -0.5141 Ry/atom. The size of the total moment is 3.8 μB/f.u.

Lattice parameters (Å, degrees): 4.6162 4.6162 2.8329 89.98 89.98 101.68
Last column: nearest neighbours and their distance in Å.
Fractional positions:
Hg (0.5000, 0.0000, 0.5000)  8 Fe 2.71, 2 Hg 2.83, 2 W 2.92
Fe (0.5000, 0.5000, 0.0000)  4 W 2.71, 4 Hg 2.71, 4 Fe 2.83-2.92
Fe (0.0000, 0.0000, 0.0000)  4 Hg 2.71, 4 W 2.71, 4 Fe 2.83-2.92
W (0.0000, 0.5000, 0.5000)  8 Fe 2.71, 2 W 2.83, 2 Hg 2.92